# Li2Fe2CoO6 | Alexandria via LeMat-Bulk | GGA+U | relaxed
data_Li2Fe2CoO6
_space_group_name_H-M_alt 'C 1 2/m 1'
_space_group_IT_number 12
_space_group_name_Hall '-C 2y'
_cell_length_a 12.956
_cell_length_b 2.859
_cell_length_c 5.811
_cell_angle_alpha 90.00
_cell_angle_beta 106.86
_cell_angle_gamma 90.00
loop_
_atom_site_label
_atom_site_type_symbol
_atom_site_fract_x
_atom_site_fract_y
_atom_site_fract_z
Li1 Li 0.145 0.000 0.297
Fe1 Fe 0.164 0.000 0.830
Co1 Co 0.000 0.500 0.500
O1 O 0.012 0.000 0.724
O2 O 0.157 0.500 0.599
O3 O 0.178 0.500 0.065
# final energy = -5.741 eV per atom
# DOS at the Fermi energy = 0.12 states/eV per atom
# V = 206.0 Å³ per cell